CaTiSi | the Alexandria database | PBE | optimized geometry; formation energy (no corrections) = -0.43 eV per atom; final energy = -5.534 eV/atom; V = 261.12 Å³ per cell
1.0
4.0937 0.0000 0.0000
0.0000 4.0937 0.0000
0.0000 0.0000 15.5814
Ca Ti Si
4 4 4
direct
0.0000 0.0000 0.1729
0.0000 0.0000 0.8271
0.5000 0.5000 0.3271
0.5000 0.5000 0.6729
0.0000 0.5000 0.0000
0.0000 0.5000 0.5000
0.5000 0.0000 0.0000
0.5000 0.0000 0.5000
0.0000 0.0000 0.3861
0.0000 0.0000 0.6139
0.5000 0.5000 0.1139
0.5000 0.5000 0.8861

=====

Ca2TlSi | the Alexandria database | PBE | optimized geometry; formation energy (no corrections) = -0.04 eV per atom; final energy = -2.991 eV/atom; V = 233.89 Å³ per cell
1.0
5.2569 0.0000 0.0000
0.0000 5.2657 0.0000
0.0000 0.0000 8.4493
Ca Tl Si
4 2 2
direct
0.0000 0.0000 0.0000
0.0000 0.5000 0.3677
0.5000 0.0000 0.3677
0.5000 0.5000 0.0000
0.0000 0.5000 0.7557
0.5000 0.0000 0.7557
0.0000 0.0000 0.5883
0.5000 0.5000 0.5883

=====

CaTlSi | the Alexandria database | PBE | optimized geometry; formation energy (no corrections) = 0.22 eV per atom; final energy = -3.042 eV/atom; V = 346.61 Å³ per cell
1.0
7.0245 0.0000 0.0000
0.0000 7.0245 0.0000
0.0000 0.0000 7.0245
Ca Tl Si
4 4 4
direct
0.0000 0.0000 0.0000
0.0000 0.5000 0.5000
0.5000 0.0000 0.5000
0.5000 0.5000 0.0000
0.2500 0.2500 0.2500
0.2500 0.7500 0.7500
0.7500 0.2500 0.7500
0.7500 0.7500 0.2500
0.2500 0.2500 0.7500
0.2500 0.7500 0.2500
0.7500 0.2500 0.2500
0.7500 0.7500 0.7500

=====

Ca2TlSi | the Alexandria database | PBE | optimized geometry; formation energy (no corrections) = -0.19 eV per atom; final energy = -3.138 eV/atom; V = 232.43 Å³ per cell
1.0
8.9794 0.0000 0.0000
0.0000 3.6165 0.0000
-1.3036 0.0000 7.1575
Ca Tl Si
4 2 2
direct
0.2377 0.0000 0.2150
0.2623 0.5000 0.7850
0.7377 0.5000 0.2150
0.7623 0.0000 0.7850
0.0000 0.0000 0.5000
0.5000 0.5000 0.5000
0.0000 0.5000 0.0000
0.5000 0.0000 0.0000

=====

Ca2Tl2Si | the Alexandria database | PBE | optimized geometry; formation energy (no corrections) = -0.14 eV per atom; final energy = -2.974 eV/atom; V = 278.11 Å³ per cell
1.0
7.5456 0.0000 0.0000
0.0000 7.5456 0.0000
0.0000 0.0000 4.8846
Ca Tl Si
4 4 2
direct
0.1713 0.3287 0.0000
0.3287 0.8287 0.0000
0.6713 0.1713 0.0000
0.8287 0.6713 0.0000
0.1403 0.6403 0.5000
0.3597 0.1403 0.5000
0.6403 0.8597 0.5000
0.8597 0.3597 0.5000
0.0000 0.0000 0.5000
0.5000 0.5000 0.5000

=====

Ca2TlSi2 | the Alexandria database | PBE | optimized geometry; formation energy (no corrections) = -0.08 eV per atom; final energy = -3.526 eV/atom; V = 284.90 Å³ per cell
1.0
5.0120 0.0000 0.0000
0.0000 5.0120 0.0000
0.0000 0.0000 11.3416
Ca Tl Si
4 2 4
direct
0.0000 0.5000 0.2500
0.0000 0.5000 0.7500
0.5000 0.0000 0.2500
0.5000 0.0000 0.7500
0.0000 0.0000 0.0000
0.5000 0.5000 0.5000
0.0000 0.0000 0.4008
0.0000 0.0000 0.5992
0.5000 0.5000 0.0992
0.5000 0.5000 0.9008